Record 1
! GGA-PBE NbFe, optimized geometry; values from VASP
&SYSTEM
  ibrav = 0, nat = 12, ntyp = 2
/
ATOMIC_SPECIES
Nb 92.91 Nb.upf
Fe 55.84 Fe.upf
CELL_PARAMETERS angstrom
7.027 0.000 0.000
-3.513 6.085 0.000
0.000 0.000 4.365
ATOMIC_POSITIONS angstrom
Nb -1.856 4.852 1.091
Nb 0.239 2.052 1.091
Nb 1.897 0.819 3.274
Nb 1.617 5.266 1.091
Nb 3.274 4.033 3.274
Nb 5.369 1.233 3.274
Fe -1.313 3.728 3.274
Fe 0.941 3.085 3.274
Fe 0.371 5.358 3.274
Fe 3.142 0.727 1.091
Fe 2.572 3.001 1.091
Fe 4.826 2.357 1.091
! ΔH_f (0 K): 0.31 eV per atom
! space-group type: P6_3/m



Record 2
! GGA-PBE Pr2PuRu, optimized geometry; values from VASP
&SYSTEM
  ibrav = 0, nat = 4, ntyp = 3
/
ATOMIC_SPECIES
Pr 140.91 Pr.upf
Pu 244.00 Pu.upf
Ru 101.07 Ru.upf
CELL_PARAMETERS angstrom
3.535 0.000 0.000
0.000 3.535 0.000
0.000 0.000 8.818
ATOMIC_POSITIONS angstrom
Pr 0.000 0.000 1.742
Pr 0.000 0.000 7.076
Pu 1.768 1.768 4.409
Ru 1.768 1.768 0.000
! ΔH_f (0 K): 0.06 eV per atom
! offset from the most stable computed form: 0 meV/atom
! space-group type: P4/mmm



Record 3
! GGA-PBE Ac3Al2Si2, optimized geometry; values from VASP
&SYSTEM
  ibrav = 0, nat = 7, ntyp = 3
/
ATOMIC_SPECIES
Ac 227.00 Ac.upf
Al 26.98 Al.upf
Si 28.09 Si.upf
CELL_PARAMETERS angstrom
5.874 -2.252 0.000
5.874 2.252 0.000
-3.977 0.000 7.611
ATOMIC_POSITIONS angstrom
Ac 0.000 0.000 0.000
Ac -0.489 0.000 4.727
Ac 8.261 0.000 2.884
Al 3.365 0.000 0.529
Al 4.406 0.000 7.082
Si 2.725 0.000 5.267
Si 5.046 0.000 2.344
! space-group type: C2/m
! uncorrected formation energy: -0.4735 eV per atom



Record 4
! GGA-PBE AsPN3, optimized geometry; values from VASP
&SYSTEM
  ibrav = 0, nat = 5, ntyp = 3
/
ATOMIC_SPECIES
As 74.92 As.upf
P 30.97 P.upf
N 14.01 N.upf
CELL_PARAMETERS angstrom
3.525 0.000 0.000
0.000 3.525 0.000
0.000 0.000 3.525
ATOMIC_POSITIONS angstrom
As 0.000 0.000 0.000
P 1.763 1.763 1.763
N 0.000 1.763 1.763
N 1.763 0.000 1.763
N 1.763 1.763 0.000
! space-group type: Pm-3m
! uncorrected formation energy: 1.0207 eV per atom



Record 5
! GGA-PBE AcU2O7, optimized geometry; values from VASP
&SYSTEM
  ibrav = 0, nat = 10, ntyp = 3
/
ATOMIC_SPECIES
Ac 227.00 Ac.upf
U 238.03 U.upf
O 16.00 O.upf
CELL_PARAMETERS angstrom
3.478 -5.287 0.000
3.478 5.287 0.000
0.000 0.000 4.148
ATOMIC_POSITIONS angstrom
Ac 0.000 0.000 0.000
U 3.478 2.085 2.074
U 3.478 -2.085 2.074
O 1.284 1.414 2.074
O 3.478 2.404 0.000
O 1.284 -1.414 2.074
O 3.478 0.000 2.074
O 5.673 1.414 2.074
O 3.478 -2.404 0.000
O 5.673 -1.414 2.074
! offset from the most stable computed form: 0 meV/atom
! space-group type: Cmmm
! uncorrected formation energy: -3.1793 eV per atom



Record 6
! GGA-PBE K3Pt2Br9, optimized geometry; values from VASP
&SYSTEM
  ibrav = 0, nat = 14, ntyp = 3
/
ATOMIC_SPECIES
K 39.10 K.upf
Pt 195.08 Pt.upf
Br 79.90 Br.upf
CELL_PARAMETERS angstrom
7.384 0.000 0.000
-3.692 6.395 0.000
0.000 0.000 9.145
ATOMIC_POSITIONS angstrom
K 0.000 0.000 0.000
K 0.000 4.263 3.180
K 3.692 2.132 5.965
Pt 0.000 4.263 7.582
Pt 3.692 2.132 1.563
Br -1.846 3.197 0.000
Br 0.000 2.170 6.184
Br -1.813 5.310 6.184
Br 1.879 1.085 2.962
Br 3.692 0.000 0.000
Br 1.846 3.197 0.000
Br 1.813 5.310 6.184
Br 5.505 1.085 2.962
Br 3.692 4.225 2.962
! space-group type: P-3m1
! uncorrected formation energy: -0.8387 eV per atom



Record 7
! GGA-PBE CoHgBi3, optimized geometry; values from VASP
&SYSTEM
  ibrav = 0, nat = 5, ntyp = 3
/
ATOMIC_SPECIES
Co 58.93 Co.upf
Hg 200.59 Hg.upf
Bi 208.98 Bi.upf
CELL_PARAMETERS angstrom
5.180 0.000 0.000
0.000 5.180 0.000
0.000 0.000 5.180
ATOMIC_POSITIONS angstrom
Co 0.000 0.000 0.000
Hg 2.590 2.590 2.590
Bi 0.000 0.000 2.590
Bi 0.000 2.590 0.000
Bi 2.590 0.000 0.000
! ΔH_f (0 K): 0.33 eV per atom
! offset from the most stable computed form: 0 meV/atom
! space-group type: Pm-3m



Record 8
! GGA-PBE Sc6As3N, optimized geometry; values from VASP
&SYSTEM
  ibrav = 0, nat = 20, ntyp = 3
/
ATOMIC_SPECIES
Sc 44.96 Sc.upf
As 74.92 As.upf
N 14.01 N.upf
CELL_PARAMETERS angstrom
5.233 -6.367 0.000
5.233 6.367 0.000
0.000 0.000 6.290
ATOMIC_POSITIONS angstrom
Sc 5.233 5.732 3.145
Sc 3.617 2.999 3.016
Sc 5.233 3.493 6.022
Sc 3.536 0.410 6.078
Sc 3.536 -0.410 2.933
Sc 6.849 2.999 3.016
Sc 3.617 -2.999 6.161
Sc 6.930 0.410 6.078
Sc 6.930 -0.410 2.933
Sc 5.233 -3.493 2.877
Sc 6.849 -2.999 6.161
Sc 5.233 -5.732 0.000
As 1.821 1.312 4.267
As 1.821 -1.312 1.122
As 5.233 1.367 1.622
As 5.233 -1.367 4.767
As 8.645 1.312 4.267
As 8.645 -1.312 1.122
N 5.233 3.879 4.006
N 5.233 -3.879 0.861
! space-group type: Cmc2_1
! uncorrected formation energy: -1.0934 eV per atom